(1)
Computed, not measured: a relaxed CsKGeSe3 crystal at the PBE-GGA level of DFT.

Its formation energy without anion corrections is -0.834 eV per atom. Its crystal system is monoclinic. The total energy is -3.671 eV/atom.

The structure belongs to space group C2/m (No. 12); the cell edges are 9.623, 10.350 and 10.412 Å and the angles 90.00°, 92.71° and 90.00°. The asymmetric unit holds Cs at (0.197, 0.000, 0.119), K at (0.000, 0.262, 0.500), Ge at (0.176, 0.000, 0.705), Se at (0.124, 0.188, 0.806) and Se at (0.248, 0.000, 0.498).

---

(2)
Computed, not measured: a relaxed Mg4Si3 crystal at the PBE-GGA level of DFT.

Its formation energy without anion corrections is -0.032 eV per atom. Its crystal system is triclinic. The total energy is -3.267 eV/atom.

The structure belongs to space group P-1 (No. 2); the cell edges are 5.657, 6.325 and 8.551 Å and the angles 106.09°, 105.19° and 100.54°. The asymmetric unit holds Mg at (0.176, 0.001, 0.162), Mg at (0.223, 0.673, 0.678), Mg at (0.272, 0.494, 0.049), Mg at (0.310, 0.155, 0.588), Si at (0.098, 0.705, 0.325), Si at (0.328, 0.432, 0.368) and Si at (0.378, 0.096, 0.914).

---

(3)
Computed, not measured: a relaxed KMoPb2 crystal at the PBE-GGA level of DFT.

For the formation energy, the calculation gives 422.3 meV per atom. Its crystal system is monoclinic. The total energy is -4.414 eV/atom.

The structure belongs to space group Cm (No. 8); the cell edges are 5.972, 3.429 and 10.496 Å and the angles 90.00°, 101.02° and 90.00°. The asymmetric unit holds K at (0.000, 0.000, 0.000), Mo at (0.331, 0.500, 0.500), Pb at (0.234, 0.000, 0.709) and Pb at (0.428, 0.000, 0.290).

---

(4)
Computed, not measured: a relaxed PaSnH8Ru2 crystal at the PBE-GGA level of DFT.

Its crystal system is monoclinic. The total energy is -4.952 eV/atom.

The structure belongs to space group C2/m (No. 12); the cell edges are 8.190, 4.315 and 6.313 Å and the angles 90.00°, 111.19° and 90.00°. The asymmetric unit holds Pa at (0.000, 0.000, 0.000), Sn at (0.000, 0.500, 0.500), H at (0.071, 0.500, 0.160), H at (0.181, 0.000, 0.362), H at (0.195, 0.252, 0.843) and Ru at (0.207, 0.000, 0.641).

---

(5)
Computed, not measured: a relaxed AcPrIBr crystal at the PBE-GGA level of DFT.

Its formation energy without anion corrections is -0.857 eV per atom. Its crystal system is cubic. The total energy is -3.885 eV/atom.

The structure belongs to space group F-43m (No. 216); the cell edges are 7.922, 7.922 and 7.922 Å and the angles 90.00°, 90.00° and 90.00°. The asymmetric unit holds Ac at (0.000, 0.000, 0.000), Pr at (0.000, 0.000, 0.500), I at (0.250, 0.250, 0.250) and Br at (0.250, 0.250, 0.750).

---

(6)
Computed, not measured: a relaxed SrZr2Fe2 crystal at the PBE-GGA level of DFT.

For the formation energy, the calculation gives 292.6 meV per atom. Its crystal system is tetragonal. The total energy is -6.848 eV/atom.

The structure belongs to space group P4/mbm (No. 127); the cell edges are 7.900, 7.900 and 3.196 Å and the angles 90.00°, 90.00° and 90.00°. The asymmetric unit holds Sr at (0.000, 0.000, 0.000), Zr at (0.139, 0.361, 0.500) and Fe at (0.135, 0.635, 0.000).

---

(7)
Computed, not measured: a relaxed LaNb2Ru crystal at the PBE-GGA level of DFT.

For the formation energy, the calculation gives 548.9 meV per atom. Its crystal system is tetragonal. The total energy is -8.037 eV/atom.

The structure belongs to space group I-42d (No. 122); the cell edges are 3.913, 3.913 and 21.803 Å and the angles 90.00°, 90.00° and 90.00°. The asymmetric unit holds La at (0.000, 0.000, 0.000), Nb at (0.237, 0.750, 0.625) and Ru at (0.000, 0.000, 0.500).

---

(8)
Computed, not measured: a relaxed ZrAlNi crystal at the PBE-GGA level of DFT.

For the formation energy, the calculation gives -101.0 meV per atom. Its crystal system is tetragonal. The total energy is -6.125 eV/atom.

The structure belongs to space group P4/nmm (No. 129, origin choice 2); the cell edges are 3.937, 3.937 and 6.729 Å and the angles 90.00°, 90.00° and 90.00°. The asymmetric unit holds Zr at (0.250, 0.750, 0.000), Al at (0.250, 0.250, 0.350) and Ni at (0.250, 0.250, 0.704).

---

(9)
Computed, not measured: a relaxed SrCuRe3 crystal at the PBE-GGA level of DFT.

For the formation energy, the calculation gives 3919.0 meV per atom. Its crystal system is cubic. The total energy is -4.705 eV/atom.

The structure belongs to space group Pm-3m (No. 221); the cell edges are 4.781, 4.781 and 4.781 Å and the angles 90.00°, 90.00° and 90.00°. The asymmetric unit holds Sr at (0.000, 0.000, 0.000), Cu at (0.500, 0.500, 0.500) and Re at (0.000, 0.000, 0.500).

---

(10)
Computed, not measured: a relaxed RbLaBe2Au crystal at the PBE-GGA level of DFT.

For the formation energy, the calculation gives 1373.4 meV per atom. Its crystal system is tetragonal. The total energy is -1.952 eV/atom.

The structure belongs to space group P4/mmm (No. 123); the cell edges are 5.106, 5.106 and 5.627 Å and the angles 90.00°, 90.00° and 90.00°. The asymmetric unit holds Rb at (0.000, 0.000, 0.000), La at (0.500, 0.500, 0.500), Be at (0.000, 0.500, 0.000) and Au at (0.000, 0.000, 0.500).

---

(11)
Computed, not measured: a relaxed HfTi4In4 crystal at the PBE-GGA level of DFT.

For the formation energy, the calculation gives 329.9 meV per atom. Its crystal system is tetragonal. The total energy is -5.502 eV/atom.

The structure belongs to space group P4_2/nmc (No. 137, origin choice 2); the cell edges are 7.276, 7.276 and 7.953 Å and the angles 90.00°, 90.00° and 90.00°. The asymmetric unit holds Hf at (0.250, 0.750, 0.250), Ti at (0.059, 0.750, 0.626) and In at (0.058, 0.250, 0.024).

---

(12)
Computed, not measured: a relaxed TbYTm2N4 crystal at the PBE-GGA level of DFT.

Its formation energy without anion corrections is -1.748 eV per atom. Its crystal system is monoclinic. The total energy is -8.416 eV/atom.

The structure belongs to space group P2/m (No. 10); the cell edges are 5.967, 3.446 and 5.968 Å and the angles 90.00°, 109.45° and 90.00°. The asymmetric unit holds Tb at (0.000, 0.000, 0.000), Y at (0.500, 0.500, 0.000), Tm at (0.000, 0.500, 0.500), Tm at (0.500, 0.000, 0.500), N at (0.249, 0.000, 0.745) and N at (0.252, 0.500, 0.256).

---

(13)
Computed, not measured: a relaxed La8Dy5Sc crystal at the PBE-GGA level of DFT.

For the formation energy, the calculation gives 156.4 meV per atom. Its crystal system is monoclinic. The total energy is -4.755 eV/atom.

The structure belongs to space group C2 (No. 5); the cell edges are 13.158, 11.136 and 9.311 Å and the angles 90.00°, 134.65° and 90.00°. The asymmetric unit holds La at (0.050, 0.000, 0.337), La at (0.057, 0.435, 0.338), La at (0.152, 0.713, 0.760), La at (0.194, 0.897, 0.127), Dy at (0.000, 0.224, 0.000), Dy at (0.189, 0.717, 0.419), Dy at (0.192, 0.527, 0.132) and Sc at (0.000, 0.216, 0.500).

---

(14)
Computed, not measured: a relaxed Tm4Sb2Rh crystal at the PBE-GGA level of DFT.

Its formation energy without anion corrections is -0.797 eV per atom. Its crystal system is monoclinic. The total energy is -5.580 eV/atom.

The structure belongs to space group C2/m (No. 12); the cell edges are 11.330, 4.353 and 8.537 Å and the angles 90.00°, 119.78° and 90.00°. The asymmetric unit holds Tm at (0.066, 0.000, 0.350), Tm at (0.164, 0.500, 0.056), Sb at (0.157, 0.500, 0.661) and Rh at (0.000, 0.000, 0.000).

---

(15)
Computed, not measured: a relaxed TiCu2GeH crystal at the PBE-GGA level of DFT.

Its crystal system is tetragonal. The total energy is -5.030 eV/atom.

The structure belongs to space group P4/mmm (No. 123); the cell edges are 3.796, 3.796 and 4.005 Å and the angles 90.00°, 90.00° and 90.00°. The asymmetric unit holds Ti at (0.000, 0.000, 0.000), Cu at (0.000, 0.500, 0.500), Ge at (0.500, 0.500, 0.000) and H at (0.000, 0.000, 0.500).

---

(16)
Computed, not measured: a relaxed NdMg4Hg2 crystal at the PBE-GGA level of DFT.

For the formation energy, the calculation gives -265.3 meV per atom. Its crystal system is tetragonal. The total energy is -1.944 eV/atom.

The structure belongs to space group P4_2/mnm (No. 136); the cell edges are 8.463, 8.463 and 4.663 Å and the angles 90.00°, 90.00° and 90.00°. The asymmetric unit holds Nd at (0.000, 0.000, 0.000), Mg at (0.093, 0.343, 0.500) and Hg at (0.215, 0.785, 0.500).

---

(17)
Computed, not measured: a relaxed Pr2PdPt crystal at the PBE-GGA level of DFT.

For the formation energy, the calculation gives -308.9 meV per atom. Its crystal system is trigonal. The total energy is -5.507 eV/atom.

The structure belongs to space group R-3m (No. 166, hexagonal axes); the cell edges are 4.0218, 4.0218 and 26.7807 Å and the angles 90.00°, 90.00° and 120.00°. The asymmetric unit holds Pr at (0.0000, 0.0000, 0.1019), Pd at (0.0000, 0.0000, 0.0000) and Pt at (0.0000, 0.0000, 0.5000).

---

(18)
Computed, not measured: a relaxed SrPRu crystal at the PBE-GGA level of DFT.

For the formation energy, the calculation gives 143.2 meV per atom. Its crystal system is cubic. The total energy is -5.313 eV/atom.

The structure belongs to space group F-43m (No. 216); the cell edges are 6.436, 6.436 and 6.436 Å and the angles 90.00°, 90.00° and 90.00°. The asymmetric unit holds Sr at (0.000, 0.000, 0.000), P at (0.250, 0.250, 0.750) and Ru at (0.000, 0.000, 0.500).

---

no.,calculated volume (Å³ per cell)
1,1035.8
2,272.7
3,211.0
4,208.0
5,497.2
6,199.5
7,333.9
8,104.3
9,109.3
10,146.7
11,421.0
12,115.7
13,970.7
14,365.4
15,57.7
16,334.0
17,375.1
18,266.6